PuTlSnBr6: optimized geometry, GGA-PBE.

Energy ... -4.547 eV per atom
Energy relative to the elements, uncorrected ... -1.132 eV per atom

Lattice parameters (Å, degrees): 7.683 7.683 14.115 90.00 90.00 120.00
Fractional positions:
Pu1 0.667 0.333 0.250
Pu2 0.333 0.667 0.750
Tl1 0.000 0.000 0.000
Tl2 0.000 0.000 0.500
Sn1 0.333 0.667 0.250
Sn2 0.667 0.333 0.750
Br1 0.641 0.630 0.134
Br2 0.989 0.359 0.134
Br3 0.359 0.989 0.634
Br4 0.011 0.641 0.866
Br5 0.370 0.359 0.366
Br6 0.989 0.630 0.366
Br7 0.630 0.989 0.866
Br8 0.641 0.011 0.366
Br9 0.011 0.370 0.634
Br10 0.370 0.011 0.134
Br11 0.630 0.641 0.634
Br12 0.359 0.370 0.866